Entry 1:
VASP calculation (PBE-GGA) on crystalline Zn2MoAs at its relaxed geometry.

Values from the calculation:
- formation energy (kJ/mol of formula units) = 68
- V (Å³/cell) = 126

Lattice parameters (Å, degrees): 5.1411 8.4416 2.9000 90.00 90.00 90.00
Space group Cmmm (No. 65)
Inequivalent atoms, fractional coordinates:
1 Zn 0.2500 0.2500 0.0000 (multiplicity 4)
2 Mo 0.0000 0.0000 0.5000 (multiplicity 2)
3 As 0.0000 0.5000 0.5000 (multiplicity 2)


Entry 2:
VASP calculation (PBE-GGA) on crystalline KFe3I12 at its relaxed geometry.

Values from the calculation:
- raw formation energy (meV/atom) = -265
- V (Å³/cell) = 5153

Lattice parameters (Å, degrees): 12.5638 12.5638 37.6970 90.00 90.00 120.00
Space group R3c (No. 161, hexagonal axes)
Inequivalent atoms, fractional coordinates:
1 K 0.0000 0.0000 0.0000 (multiplicity 6)
2 Fe 0.0112 0.3591 0.2867 (multiplicity 18)
3 I 0.0102 0.4672 0.3428 (multiplicity 18)
4 I 0.0372 0.5000 0.4666 (multiplicity 18)
5 I 0.0489 0.5127 0.1076 (multiplicity 18)
6 I 0.0692 0.4960 0.2327 (multiplicity 18)


Entry 3:
VASP calculation (PBE-GGA) on crystalline NdHoNi2 at its relaxed geometry.

Values from the calculation:
- formation energy (kJ/mol of formula units) = -118
- distance to the lowest polymorph of the same formula (meV/atom) = 83.6
- V (Å³/cell) = 323

Lattice parameters (Å, degrees): 6.8585 6.8585 6.8585 90.00 90.00 90.00
Space group Fm-3m (No. 225)
Inequivalent atoms, fractional coordinates:
1 Nd 0.0000 0.0000 0.0000 (multiplicity 4)
2 Ho 0.0000 0.0000 0.5000 (multiplicity 4)
3 Ni 0.2500 0.2500 0.2500 (multiplicity 8)


Entry 4:
VASP calculation (PBE-GGA) on crystalline BeSbPb2O6 at its relaxed geometry.

Values from the calculation:
- raw formation energy (meV/atom) = -1182
- V (Å³/cell) = 155

Lattice parameters (Å, degrees): 5.9216 5.9216 5.1159 90.00 90.00 120.00
Space group P-3m1 (No. 164)
Inequivalent atoms, fractional coordinates:
1 Be 0.0000 0.0000 0.0000 (multiplicity 1)
2 Sb 0.0000 0.0000 0.5000 (multiplicity 1)
3 Pb 0.3333 0.6667 0.0064 (multiplicity 2)
4 O 0.1421 0.2843 0.7708 (multiplicity 6)